Density functional theory data (PBE with a Hubbard U) for crystalline SrCaNiWO6 at its relaxed geometry.

Electronic total energy ... -66.71 eV per formula unit

CIF file:
```
data_SrCaNiWO6
_symmetry_space_group_name_H-M 'P 1 c 1'
_symmetry_Int_Tables_number 7
_symmetry_space_group_name_Hall 'P -2yc'
_cell_length_a 5.565
_cell_length_b 5.643
_cell_length_c 9.653
_cell_angle_alpha 90.00
_cell_angle_beta 125.12
_cell_angle_gamma 90.00
loop_
_atom_site_label
_atom_site_type_symbol
_atom_site_fract_x
_atom_site_fract_y
_atom_site_fract_z
Sr1 Sr 0.000 0.220 0.000
Ca1 Ca 0.520 0.297 0.504
Ni1 Ni 0.757 0.247 0.251
W1 W 0.256 0.250 0.750
O1 O 0.007 0.479 0.212
O2 O 0.102 0.234 0.510
O3 O 0.434 0.274 0.992
O4 O 0.494 0.033 0.295
O5 O 0.562 0.461 0.783
O6 O 0.931 0.052 0.708
```